Entry 1:
A geometry-optimized Be2VCrBr structure. Source: Alexandria via LeMat-Bulk, functional PBE.

Cell lengths 4.108, 4.108, 4.514 Å; angles 90.00, 90.00, 90.00 degrees
Positions (direct):
Be 0.000 0.500 0.000
Be 0.500 0.000 0.000
V 0.000 0.000 0.500
Cr 0.500 0.500 0.500
Br 0.000 0.000 0.000

Results
Total DFT energy (no corrections) (eV/atom): -3.8501
E_form (uncorrected) (kJ/mol of atoms): 166.28
Mass density (Mg/m³): 4.38

***

Entry 2:
A geometry-optimized YBeCrBr2 structure. Source: Alexandria via LeMat-Bulk, functional PBE.

Cell lengths 5.488, 5.488, 6.206 Å; angles 90.00, 90.00, 90.00 degrees
Positions (direct):
Y 0.000 0.000 0.000
Be 0.500 0.500 0.500
Cr 0.000 0.000 0.500
Br 0.000 0.500 0.000
Br 0.500 0.000 0.000

Results
Total DFT energy (no corrections) (eV/atom): -4.2132
E above lowest polymorph (meV/atom): 77.8
E_form (uncorrected) (kJ/mol of atoms): 40.40
Mass density (Mg/m³): 2.75